Entry 1:
The following is a DFT calculation (PBE) of crystalline CrHg2Mo at its relaxed geometry.

Calculated values
- Distance to the lowest polymorph of the same formula: 195 meV/atom
- Energy: -37.24 eV for the cell shown
- Energy of formation from the pure elements: 0.609 eV/atom

Lattice parameters (Å, degrees): 4.134 4.134 8.503 90.00 90.00 90.00
Space group I4/mmm (No. 139)
Asymmetric unit:
Cr 0.000 0.000 0.000
Hg 0.000 0.500 0.250
Mo 0.000 0.000 0.500

***

Entry 2:
The following is a DFT calculation (PBE) of crystalline Cr3HgMo at its relaxed geometry.

Calculated values
- Distance to the lowest polymorph of the same formula: 0 meV/atom
- Energy: -33.30 eV for the cell shown
- Energy of formation from the pure elements: 1.340 eV/atom

Lattice parameters (Å, degrees): 4.700 4.700 4.700 90.00 90.00 90.00
Space group Pm-3m (No. 221)
Asymmetric unit:
Cr 0.000 0.000 0.500
Hg 0.500 0.500 0.500
Mo 0.000 0.000 0.000

***

Entry 3:
The following is a DFT calculation (PBE) of crystalline CrHg2Mo at its relaxed geometry.

Calculated values
- Distance to the lowest polymorph of the same formula: 237 meV/atom
- Energy: -36.91 eV for the cell shown
- Energy of formation from the pure elements: 0.650 eV/atom

Lattice parameters (Å, degrees): 5.804 8.506 2.931 90.00 90.00 90.00
Space group Cmmm (No. 65)
Asymmetric unit:
Cr 0.000 0.000 0.000
Hg 0.250 0.250 0.500
Mo 0.000 0.500 0.000

***

Entry 4:
The following is a DFT calculation (PBE) of crystalline Cr2HgMo at its relaxed geometry.

Calculated values
- Energy: -106.78 eV for the cell shown
- Energy of formation from the pure elements: 0.921 eV/atom

Lattice parameters (Å, degrees): 7.039 7.039 5.690 90.00 90.00 90.00
Space group I-42d (No. 122)
Asymmetric unit:
Cr 0.213 0.250 0.125
Hg 0.000 0.000 0.500
Mo 0.000 0.000 0.000

***

Entry 5:
The following is a DFT calculation (PBE) of crystalline Cr2HgMo at its relaxed geometry.

Calculated values
- Energy: -84.48 eV for the cell shown
- Energy of formation from the pure elements: 0.555 eV/atom

Lattice parameters (Å, degrees): 2.9846 2.9846 25.3192 90.00 90.00 120.00
Space group R-3m (No. 166, hexagonal axes)
Asymmetric unit:
Cr 0.0000 0.0000 0.2400
Hg 0.0000 0.0000 0.0000
Mo 0.0000 0.0000 0.5000